This record from Alexandria via LeMat-Bulk describes a relaxed structure of TbMg2Cu. The functional is GGA-PBE.

a = 3.194 Å, b = 3.194 Å, c = 10.621 Å
α = 81.35°, β = 81.35°, γ = 60.00°
Atoms (fractional coordinates):
1 Cu 0.500 0.500 0.500
2 Mg 0.897 0.897 0.310
3 Mg 0.103 0.103 0.690
4 Tb 0.000 0.000 0.000

Output
DFT total energy	-10.9	eV per cell